No. 1
Crystalline Li2Tl2Hg at its relaxed geometry, computed with PBE.

Unit cell a=7.5771 b=7.5771 c=3.8807 alpha=90.00 beta=90.00 gamma=90.00
Sites, in units of the cell vectors:
1 Li 0.1438 0.3562 0.0000
2 Li 0.3562 0.8562 0.0000
3 Li 0.6438 0.1438 0.0000
4 Li 0.8562 0.6438 0.0000
5 Tl 0.1584 0.6584 0.5000
6 Tl 0.3416 0.1584 0.5000
7 Tl 0.6584 0.8416 0.5000
8 Tl 0.8416 0.3416 0.5000
9 Hg 0.0000 0.0000 0.0000
10 Hg 0.5000 0.5000 0.0000

Values from the calculation:
For the total magnetization, the calculation gives 0.000 μB/atom. As for the energy: -1.943 eV per atom. The calculation puts the energy relative to the elements at -170.8 meV per atom. The symmetry is P4/mbm (127). The energy above the most stable polymorph in this dataset comes out at 0.000 eV per atom.

---

No. 2
Crystalline Er2Mg2Al at its relaxed geometry, computed with PBE.

Unit cell a=4.8312 b=15.4786 c=3.2634 alpha=90.00 beta=90.00 gamma=90.00
Sites, in units of the cell vectors:
1 Er 0.0000 0.1032 0.0000
2 Er 0.0000 0.8968 0.0000
3 Er 0.5000 0.3968 0.0000
4 Er 0.5000 0.6032 0.0000
5 Mg 0.0000 0.2999 0.5000
6 Mg 0.0000 0.7001 0.5000
7 Mg 0.5000 0.2001 0.5000
8 Mg 0.5000 0.7999 0.5000
9 Al 0.0000 0.5000 0.5000
10 Al 0.5000 0.0000 0.5000

Values from the calculation:
For the total magnetization, the calculation gives 0.000 μB/atom. As for the energy: -3.318 eV per atom. The calculation puts the energy relative to the elements at -106.6 meV per atom. The symmetry is Cmmm (65).

---

No. 3
Crystalline BaTa2S6 at its relaxed geometry, computed with PBE.

Unit cell a=6.4248 b=6.4248 c=9.4826 alpha=110.73 beta=110.73 gamma=43.34
Sites, in units of the cell vectors:
1 Ba 0.0000 0.0000 0.0000
2 Ta 0.1739 0.1739 0.6139
3 Ta 0.8261 0.8261 0.3861
4 S 0.0023 0.0023 0.6688
5 S 0.3075 0.3075 0.4508
6 S 0.3141 0.3141 0.8577
7 S 0.6859 0.6859 0.1423
8 S 0.6925 0.6925 0.5492
9 S 0.9977 0.9977 0.3312

Values from the calculation:
For the formation energy (no corrections), the calculation gives -1122.1 meV/atom. For the total magnetization, the calculation gives 0.000 μB/atom. As for the energy: -6.721 eV per atom. The symmetry is C2/m (12).

---

No. 4
Crystalline Sm8Dy at its relaxed geometry, computed with PBE.

Unit cell a=8.0907 b=8.0907 c=8.0907 alpha=95.74 beta=95.74 gamma=143.14
Sites, in units of the cell vectors:
1 Sm 0.0000 0.3329 0.3329
2 Sm 0.0000 0.6671 0.6671
3 Sm 0.3329 0.0000 0.3329
4 Sm 0.3339 0.3339 0.6677
5 Sm 0.3339 0.6661 0.0000
6 Sm 0.6661 0.3339 0.0000
7 Sm 0.6661 0.6661 0.3323
8 Sm 0.6671 0.0000 0.6671
9 Dy 0.0000 0.0000 0.0000

Values from the calculation:
For the total magnetization, the calculation gives 0.000 μB/atom. As for the energy: -4.692 eV per atom. The calculation puts the energy relative to the elements at 14.6 meV per atom. The symmetry is I4/mmm (139).

---

- Number 1 is which compound?
  Li2Tl2Hg

---

- What is the energy in the fourth record?
  -4.692 eV per atom

---

- Among the records above, which one has the lowest energy?
  BaTa2S6

---

- The highest energy belongs to which entry?
  Li2Tl2Hg